## KHoCdF6 (PBE)

Data for crystalline KHoCdF6 at its relaxed geometry. Values from VASP.

```
&SYSTEM
  ibrav = 0, nat = 18, ntyp = 4
/
ATOMIC_SPECIES
Ho 164.93 Ho.upf
Cd 112.41 Cd.upf
F 19.00 F.upf
K 39.10 K.upf
CELL_PARAMETERS angstrom
-5.859 -0.471 1.480
3.748 -4.671 0.937
2.179 3.715 9.809
ATOMIC_POSITIONS angstrom
Ho -2.112 -0.943 3.751
Cd -1.023 0.915 8.656
F -4.111 -1.644 3.208
F 0.127 -0.867 7.822
F 2.749 0.622 6.676
Cd 1.090 -2.342 3.570
F -2.895 0.976 4.452
K 1.089 1.858 4.904
Ho 2.180 -0.485 8.474
K 0.000 0.000 0.000
F -1.069 -2.678 2.924
F 4.178 0.217 9.018
F -0.060 -0.560 4.404
F 1.137 1.250 9.302
F -1.856 0.301 1.970
F -2.681 -2.049 5.550
F 2.963 -2.403 7.774
F 1.924 -1.728 10.255
```

Output
- E_form (uncorrected) (eV/atom) = -3.18
- space-group type = P-31c


## ZrSc2Cl (PBE)

Data for crystalline ZrSc2Cl at its relaxed geometry. Values from VASP.

```
&SYSTEM
  ibrav = 0, nat = 4, ntyp = 3
/
ATOMIC_SPECIES
Sc 44.96 Sc.upf
Zr 91.22 Zr.upf
Cl 35.45 Cl.upf
CELL_PARAMETERS angstrom
5.470 0.007 -0.015
4.508 3.098 -0.015
2.616 0.814 5.116
ATOMIC_POSITIONS angstrom
Sc 9.651 3.003 3.676
Zr 7.089 2.206 2.790
Sc 9.743 3.032 0.469
Cl 2.386 0.743 0.664
```

Output
- energy above the most stable polymorph in this dataset (meV/atom) = 264.5
- E_form (uncorrected) (eV/atom) = -0.37
- space-group type = Cm


## Sc2TlB (PBE)

Data for crystalline Sc2TlB at its relaxed geometry. Values from VASP.

```
&SYSTEM
  ibrav = 0, nat = 4, ntyp = 3
/
ATOMIC_SPECIES
B 10.81 B.upf
Tl 204.38 Tl.upf
Sc 44.96 Sc.upf
CELL_PARAMETERS angstrom
0.781 -1.531 9.558
2.573 -4.154 8.393
4.043 -1.129 8.757
ATOMIC_POSITIONS angstrom
B 0.000 0.000 0.000
Tl 3.698 -3.407 13.354
Sc 0.607 -0.559 2.192
Sc 6.790 -6.255 24.516
```

Output
- energy above the most stable polymorph in this dataset (meV/atom) = 865.2
- energy of formation (eV/atom) = 0.80
- space-group type = R-3m